1.
BeCoSN2 | Alexandria via LeMat-Bulk | SCAN | PBEsol geometry; VASP energy = -8.9854 eV per atom; theoretical density = 3.59 g/cm3; ΔE_f (raw) = 0.988 eV per atom; calculated volume = 59 Å³/cell
1.0
3.4360 0.0000 0.0000
0.0000 3.4360 0.0000
0.0000 0.0000 5.0095
Be Co S N
1 1 1 2
Direct
0.0000 0.0000 0.0000 Be
0.5000 0.5000 0.5000 Co
0.5000 0.5000 0.0000 S
0.0000 0.5000 0.5000 N
0.5000 0.0000 0.5000 N

=====

2.
NaBeCo3 | Alexandria via LeMat-Bulk | SCAN | PBEsol geometry; VASP energy = -9.8864 eV per atom; theoretical density = 4.71 g/cm3; ΔH_f (0 K) = 1066 kJ/mol of formula units; energy relative to the lowest polymorph listed for this composition = 1500 meV per atom; calculated volume = 74 Å³/cell
1.0
4.1918 0.0000 0.0000
0.0000 4.1918 0.0000
0.0000 0.0000 4.1918
Na Be Co
1 1 3
Direct
0.0000 0.0000 0.0000 Na
0.5000 0.5000 0.5000 Be
0.0000 0.0000 0.5000 Co
0.0000 0.5000 0.0000 Co
0.5000 0.0000 0.0000 Co

=====

3.
NaBeCo3 | Alexandria via LeMat-Bulk | SCAN | PBEsol geometry; VASP energy = -11.3867 eV per atom; theoretical density = 5.51 g/cm3; ΔH_f (0 K) = 342 kJ/mol of formula units; energy relative to the lowest polymorph listed for this composition = 0 meV per atom; calculated volume = 63 Å³/cell
1.0
3.9773 0.0000 0.0000
0.0000 3.9773 0.0000
0.0000 0.0000 3.9773
Na Be Co
1 1 3
Direct
0.0000 0.0000 0.0000 Na
0.5000 0.5000 0.5000 Be
0.0000 0.5000 0.5000 Co
0.5000 0.0000 0.5000 Co
0.5000 0.5000 0.0000 Co

=====

4.
Be2NbCoTc | Alexandria via LeMat-Bulk | SCAN | PBEsol geometry; VASP energy = -17.0161 eV per atom; theoretical density = 5.21 g/cm3; ΔH_f (0 K) = 880 kJ/mol of formula units; calculated volume = 85 Å³/cell
1.0
4.3234 0.0000 0.0000
0.0000 4.3234 0.0000
0.0000 0.0000 4.5686
Be Nb Co Tc
2 1 1 1
Direct
0.0000 0.5000 0.0000 Be
0.5000 0.0000 0.0000 Be
0.0000 0.0000 0.0000 Nb
0.5000 0.5000 0.5000 Co
0.0000 0.0000 0.5000 Tc

=====

5.
Be2CoNi | Alexandria via LeMat-Bulk | SCAN | PBEsol geometry; VASP energy = -10.7563 eV per atom; theoretical density = 6.33 g/cm3; ΔH_f (0 K) = -81 kJ/mol of formula units; energy relative to the lowest polymorph listed for this composition = 255 meV per atom; calculated volume = 71 Å³/cell
1.0
3.1340 0.0000 0.0000
0.0000 3.1340 0.0000
0.0000 0.0000 7.2505
Be Co Ni
4 2 2
Direct
0.0000 0.0000 0.0000 Be
0.0000 0.5000 0.2500 Be
0.5000 0.0000 0.7500 Be
0.5000 0.5000 0.5000 Be
0.0000 0.0000 0.5000 Co
0.5000 0.5000 0.0000 Co
0.0000 0.5000 0.7500 Ni
0.5000 0.0000 0.2500 Ni

=====

6.
Be2CoNi | Alexandria via LeMat-Bulk | SCAN | PBEsol geometry; VASP energy = -11.0054 eV per atom; theoretical density = 6.63 g/cm3; ΔH_f (0 K) = -177 kJ/mol of formula units; energy relative to the lowest polymorph listed for this composition = 6 meV per atom; calculated volume = 34 Å³/cell
1.0
3.6202 0.0000 0.0000
0.0000 3.6202 0.0000
0.0000 0.0000 2.5904
Be Co Ni
2 1 1
Direct
0.0000 0.5000 0.0000 Be
0.5000 0.0000 0.0000 Be
0.0000 0.0000 0.5000 Co
0.5000 0.5000 0.5000 Ni

=====

7.
Be3CoNi | Alexandria via LeMat-Bulk | SCAN | PBEsol geometry; VASP energy = -8.7342 eV per atom; theoretical density = 4.44 g/cm3; ΔH_f (0 K) = 277 kJ/mol of formula units; calculated volume = 54 Å³/cell
1.0
3.7833 0.0000 0.0000
0.0000 3.7833 0.0000
0.0000 0.0000 3.7833
Be Co Ni
3 1 1
Direct
0.0000 0.0000 0.5000 Be
0.0000 0.5000 0.0000 Be
0.5000 0.0000 0.0000 Be
0.5000 0.5000 0.5000 Co
0.0000 0.0000 0.0000 Ni

=====

8.
BeCo4Ni | Alexandria via LeMat-Bulk | SCAN | PBEsol geometry; VASP energy = -14.6895 eV per atom; theoretical density = 7.79 g/cm3; ΔH_f (0 K) = 155 kJ/mol of formula units; calculated volume = 65 Å³/cell
1.0
0.0000 3.1856 3.1856
3.1856 0.0000 3.1856
3.1856 3.1856 0.0000
Be Co Ni
1 4 1
Direct
0.0000 0.0000 0.0000 Be
0.3750 0.3750 0.3750 Co
0.3750 0.3750 0.8750 Co
0.3750 0.8750 0.3750 Co
0.8750 0.3750 0.3750 Co
0.7500 0.7500 0.7500 Ni